1.
Compound: NdGdFe2Sn4
Source: the Open Quantum Materials Database
Functional: PBE
Structure: optimized geometry

```
data_NdGdFe2Sn4
_chemical_formula_sum 'Nd1 Gd1 Fe2 Sn4'
_space_group_name_H-M_alt 'P 1 m 1'
_space_group_IT_number 6
_space_group_name_Hall 'P -2y'
_cell_length_a 4.769
_cell_length_b 4.631
_cell_length_c 8.671
_cell_angle_alpha 90.00
_cell_angle_beta 105.46
_cell_angle_gamma 90.00
loop_
_atom_site_label
_atom_site_type_symbol
_atom_site_fract_x
_atom_site_fract_y
_atom_site_fract_z
Nd1 Nd 0.000 0.000 0.000
Gd1 Gd 0.887 0.500 0.565
Fe1 Fe 0.153 0.000 0.390
Fe2 Fe 0.719 0.500 0.183
Sn1 Sn 0.253 0.500 0.290
Sn2 Sn 0.435 0.000 0.675
Sn3 Sn 0.449 0.500 0.893
Sn4 Sn 0.623 0.000 0.284
```

Properties
calculated volume = 184.57 Å³/cell
magnetization = 0.192 μB per formula unit
E_tot = -5.540 eV per atom



2.
Compound: YLuBePd
Source: the Open Quantum Materials Database
Functional: PBE
Structure: optimized geometry

```
data_YLuBePd
_chemical_formula_sum 'Y4 Lu4 Be4 Pd4'
_space_group_name_H-M_alt 'F -4 3 m'
_space_group_IT_number 216
_space_group_name_Hall 'F -4 2 3'
_cell_length_a 6.872
_cell_length_b 6.872
_cell_length_c 6.872
_cell_angle_alpha 90.00
_cell_angle_beta 90.00
_cell_angle_gamma 90.00
loop_
_atom_site_label
_atom_site_type_symbol
_atom_site_fract_x
_atom_site_fract_y
_atom_site_fract_z
Y1 Y 0.000 0.000 0.000
Lu1 Lu 0.000 0.000 0.500
Be1 Be 0.250 0.250 0.250
Pd1 Pd 0.250 0.250 0.750
```

Properties
calculated volume = 324.48 Å³/cell
magnetization = 0.014 μB per formula unit
energy above the most stable polymorph in this dataset = 0.000 eV per atom
E_tot = -5.363 eV per atom



3.
Compound: HoTm2Lu
Source: the Open Quantum Materials Database
Functional: PBE
Structure: optimized geometry

```
data_HoTm2Lu
_chemical_formula_sum 'Ho4 Tm8 Lu4'
_space_group_name_H-M_alt 'A m a 2'
_space_group_IT_number 40
_space_group_name_Hall 'A 2 -2a'
_cell_length_a 5.500
_cell_length_b 12.296
_cell_length_c 7.098
_cell_angle_alpha 90.00
_cell_angle_beta 90.00
_cell_angle_gamma 90.00
loop_
_atom_site_label
_atom_site_type_symbol
_atom_site_fract_x
_atom_site_fract_y
_atom_site_fract_z
Ho1 Ho 0.250 0.167 0.000
Tm1 Tm 0.250 0.166 0.500
Tm2 Tm 0.250 0.417 0.250
Lu1 Lu 0.250 0.417 0.751
```

Properties
DFT formation energy = 0.000 eV/atom
calculated volume = 479.98 Å³/cell
magnetization = 0.008 μB per formula unit
E_tot = -4.513 eV per atom



4.
Compound: Er5Ir3
Source: the Open Quantum Materials Database
Functional: PBE
Structure: optimized geometry

```
data_Er5Ir3
_chemical_formula_sum 'Er20 Ir12'
_space_group_name_H-M_alt 'P 4/n c c'
_space_group_IT_number 130
_cell_length_a 10.774
_cell_length_b 10.774
_cell_length_c 6.287
_cell_angle_alpha 90.00
_cell_angle_beta 90.00
_cell_angle_gamma 90.00
loop_
_space_group_symop_operation_xyz
'x,y,z'
'-x,-y,-z'
'-y+1/2,x,z'
'y+1/2,-x,-z'
'-x+1/2,-y+1/2,z'
'x+1/2,y+1/2,-z'
'y,-x+1/2,z'
'-y,x+1/2,-z'
'x+1/2,-y,-z+1/2'
'-x+1/2,y,z+1/2'
'-y,-x,-z+1/2'
'y,x,z+1/2'
'-x,y+1/2,-z+1/2'
'x,-y+1/2,z+1/2'
'y+1/2,x+1/2,-z+1/2'
'-y+1/2,-x+1/2,z+1/2'
loop_
_atom_site_label
_atom_site_type_symbol
_atom_site_fract_x
_atom_site_fract_y
_atom_site_fract_z
Er1 Er 0.041 0.163 0.124
Er2 Er 0.250 0.750 0.000
Ir1 Ir 0.096 0.596 0.750
Ir2 Ir 0.250 0.250 0.379
```

Properties
DFT formation energy = -0.855 eV/atom
calculated volume = 729.79 Å³/cell
magnetization = 0.001 μB per formula unit
energy above the most stable polymorph in this dataset = 0.000 eV per atom
E_tot = -7.027 eV per atom



5.
Compound: Zr2ScAl3Cu2Pd
Source: the Open Quantum Materials Database
Functional: PBE
Structure: optimized geometry

```
data_Zr2ScAl3Cu2Pd
_chemical_formula_sum 'Zr4 Sc2 Al6 Cu4 Pd2'
_space_group_name_H-M_alt 'A m m 2'
_space_group_IT_number 38
_space_group_name_Hall 'A 2 -2'
_cell_length_a 4.051
_cell_length_b 11.408
_cell_length_c 6.636
_cell_angle_alpha 90.00
_cell_angle_beta 90.00
_cell_angle_gamma 90.00
loop_
_atom_site_label
_atom_site_type_symbol
_atom_site_fract_x
_atom_site_fract_y
_atom_site_fract_z
Zr1 Zr 0.000 0.212 0.000
Sc1 Sc 0.000 0.000 0.636
Al1 Al 0.500 0.000 0.966
Al2 Al 0.500 0.126 0.334
Cu1 Cu 0.500 0.165 0.711
Pd1 Pd 0.000 0.000 0.218
```

Properties
calculated volume = 306.67 Å³/cell
magnetization = 0.004 μB per formula unit
E_tot = -5.818 eV per atom



6.
Compound: TlFe3Pb5
Source: the Open Quantum Materials Database
Functional: PBE
Structure: optimized geometry

```
data_TlFe3Pb5
_chemical_formula_sum 'Tl1 Fe3 Pb5'
_space_group_name_H-M_alt 'P 6/m m m'
_space_group_IT_number 191
_space_group_name_Hall '-P 6 2'
_cell_length_a 5.4489
_cell_length_b 5.4489
_cell_length_c 8.6826
_cell_angle_alpha 90.00
_cell_angle_beta 90.00
_cell_angle_gamma 120.00
loop_
_atom_site_label
_atom_site_type_symbol
_atom_site_fract_x
_atom_site_fract_y
_atom_site_fract_z
Tl1 Tl 0.0000 0.0000 0.0000
Fe1 Fe 0.0000 0.5000 0.5000
Pb1 Pb 0.0000 0.0000 0.5000
Pb2 Pb 0.3333 0.6667 0.2210
```

Properties
calculated volume = 223.25 Å³/cell
magnetization = 7.131 μB per formula unit
E_tot = -4.853 eV per atom



7.
Compound: TbEr2Al3Si2Pd
Source: the Open Quantum Materials Database
Functional: PBE
Structure: optimized geometry

```
data_TbEr2Al3Si2Pd
_chemical_formula_sum 'Tb2 Er4 Al6 Si4 Pd2'
_space_group_name_H-M_alt 'A m m 2'
_space_group_IT_number 38
_space_group_name_Hall 'A 2 -2'
_cell_length_a 4.239
_cell_length_b 11.895
_cell_length_c 6.858
_cell_angle_alpha 90.00
_cell_angle_beta 90.00
_cell_angle_gamma 90.00
loop_
_atom_site_label
_atom_site_type_symbol
_atom_site_fract_x
_atom_site_fract_y
_atom_site_fract_z
Tb1 Tb 0.000 0.000 0.000
Er1 Er 0.000 0.209 0.373
Al1 Al 0.500 0.000 0.343
Al2 Al 0.500 0.120 0.701
Si1 Si 0.500 0.168 0.082
Pd1 Pd 0.000 0.000 0.578
```

Properties
calculated volume = 345.85 Å³/cell
magnetization = 0.003 μB per formula unit
E_tot = -5.354 eV per atom



8.
Compound: KHfCu3S4
Source: the Open Quantum Materials Database
Functional: PBE
Structure: optimized geometry

```
data_KHfCu3S4
_chemical_formula_sum 'K1 Hf1 Cu3 S4'
_space_group_name_H-M_alt 'P -4 3 m'
_space_group_IT_number 215
_space_group_name_Hall 'P -4 2 3'
_cell_length_a 5.959
_cell_length_b 5.959
_cell_length_c 5.959
_cell_angle_alpha 90.00
_cell_angle_beta 90.00
_cell_angle_gamma 90.00
loop_
_atom_site_label
_atom_site_type_symbol
_atom_site_fract_x
_atom_site_fract_y
_atom_site_fract_z
K1 K 0.000 0.000 0.000
Hf1 Hf 0.500 0.500 0.500
Cu1 Cu 0.000 0.500 0.500
S1 S 0.273 0.273 0.273
```

Properties
calculated volume = 211.59 Å³/cell
magnetization = 0.003 μB per formula unit
energy above the most stable polymorph in this dataset = 0.071 eV per atom
E_tot = -5.067 eV per atom



9.
Compound: LaPrP2Ir2S2
Source: the Open Quantum Materials Database
Functional: PBE
Structure: optimized geometry

```
data_LaPrP2Ir2S2
_chemical_formula_sum 'La1 Pr1 P2 Ir2 S2'
_space_group_name_H-M_alt 'P 4 m m'
_space_group_IT_number 99
_space_group_name_Hall 'P 4 -2'
_cell_length_a 4.341
_cell_length_b 4.341
_cell_length_c 8.895
_cell_angle_alpha 90.00
_cell_angle_beta 90.00
_cell_angle_gamma 90.00
loop_
_atom_site_label
_atom_site_type_symbol
_atom_site_fract_x
_atom_site_fract_y
_atom_site_fract_z
La1 La 0.000 0.000 0.000
Pr1 Pr 0.500 0.500 0.620
P1 P 0.000 0.000 0.435
P2 P 0.500 0.500 0.188
Ir1 Ir 0.000 0.500 0.312
S1 S 0.000 0.500 0.808
```

Properties
calculated volume = 167.62 Å³/cell
magnetization = 0.498 μB per formula unit
E_tot = -6.899 eV per atom



10.
Compound: NiHgPbSe3
Source: the Open Quantum Materials Database
Functional: PBE
Structure: optimized geometry

```
data_NiHgPbSe3
_chemical_formula_sum 'Ni4 Hg4 Pb4 Se12'
_space_group_name_H-M_alt 'C m c m'
_space_group_IT_number 63
_space_group_name_Hall '-C 2c 2'
_cell_length_a 3.739
_cell_length_b 14.916
_cell_length_c 10.860
_cell_angle_alpha 90.00
_cell_angle_beta 90.00
_cell_angle_gamma 90.00
loop_
_atom_site_label
_atom_site_type_symbol
_atom_site_fract_x
_atom_site_fract_y
_atom_site_fract_z
Ni1 Ni 0.000 0.000 0.000
Hg1 Hg 0.000 0.337 0.250
Pb1 Pb 0.000 0.338 0.750
Se1 Se 0.000 0.017 0.250
Se2 Se 0.000 0.398 0.013
```

Properties
calculated volume = 605.68 Å³/cell
magnetization = 0.004 μB per formula unit
energy above the most stable polymorph in this dataset = 0.000 eV per atom
E_tot = -3.520 eV per atom



11.
Compound: Nd2CdGe2
Source: the Open Quantum Materials Database
Functional: PBE
Structure: optimized geometry

```
data_Nd2CdGe2
_chemical_formula_sum 'Nd4 Cd2 Ge4'
_space_group_name_H-M_alt 'P 4/m b m'
_space_group_IT_number 127
_space_group_name_Hall '-P 4 2ab'
_cell_length_a 7.492
_cell_length_b 7.492
_cell_length_c 4.364
_cell_angle_alpha 90.00
_cell_angle_beta 90.00
_cell_angle_gamma 90.00
loop_
_atom_site_label
_atom_site_type_symbol
_atom_site_fract_x
_atom_site_fract_y
_atom_site_fract_z
Nd1 Nd 0.179 0.321 0.000
Cd1 Cd 0.000 0.000 0.500
Ge1 Ge 0.120 0.620 0.500
```

Properties
calculated volume = 244.93 Å³/cell
magnetization = 0.000 μB per formula unit
E_tot = -4.667 eV per atom